[1]
Material: LuFeMoPb
Method: DFT, GGA-PBE
State: relaxed

CIF file:
```
data_LuFeMoPb
_symmetry_space_group_name_H-M 'P 1'
_symmetry_Int_Tables_number 1
_symmetry_space_group_name_Hall 'P 1'
_cell_length_a 4.774
_cell_length_b 4.774
_cell_length_c 4.774
_cell_angle_alpha 60.00
_cell_angle_beta 60.00
_cell_angle_gamma 60.00
loop_
_atom_site_label
_atom_site_fract_x
_atom_site_fract_y
_atom_site_fract_z
Fe1 0.750 0.750 0.750
Lu1 0.250 0.250 0.250
Mo1 0.500 0.500 0.500
Pb1 0.000 0.000 0.000
```

Output
Energy above the most stable polymorph in this dataset = 83 meV per atom
Magnetization = 3.2 μB/cell
Space-group type = F-43m, No. 216

---

[2]
Material: LuFeMoPb
Method: DFT, GGA-PBE
State: relaxed

CIF file:
```
data_LuFeMoPb
_symmetry_space_group_name_H-M 'P 1'
_symmetry_Int_Tables_number 1
_symmetry_space_group_name_Hall 'P 1'
_cell_length_a 4.723
_cell_length_b 4.723
_cell_length_c 4.723
_cell_angle_alpha 60.00
_cell_angle_beta 60.00
_cell_angle_gamma 60.00
loop_
_atom_site_label
_atom_site_fract_x
_atom_site_fract_y
_atom_site_fract_z
Fe1 0.750 0.750 0.750
Lu1 0.500 0.500 0.500
Mo1 0.250 0.250 0.250
Pb1 0.000 0.000 0.000
```

Output
Energy above the most stable polymorph in this dataset = 0 meV per atom
Magnetization = 2.9 μB/cell
Space-group type = F-43m, No. 216

---

[3]
Material: LuFeSbMo
Method: DFT, GGA-PBE
State: relaxed

CIF file:
```
data_LuFeSbMo
_symmetry_space_group_name_H-M 'P 1'
_symmetry_Int_Tables_number 1
_symmetry_space_group_name_Hall 'P 1'
_cell_length_a 4.666
_cell_length_b 4.666
_cell_length_c 4.666
_cell_angle_alpha 60.00
_cell_angle_beta 60.00
_cell_angle_gamma 60.00
loop_
_atom_site_label
_atom_site_fract_x
_atom_site_fract_y
_atom_site_fract_z
Fe1 0.750 0.750 0.750
Lu1 0.250 0.250 0.250
Mo1 0.500 0.500 0.500
Sb1 0.000 0.000 0.000
```

Output
Energy above the most stable polymorph in this dataset = 233 meV per atom
Magnetization = 3.8 μB/cell
Space-group type = F-43m, No. 216

---

[4]
Material: LuFeSbMo
Method: DFT, GGA-PBE
State: relaxed

CIF file:
```
data_LuFeSbMo
_symmetry_space_group_name_H-M 'P 1'
_symmetry_Int_Tables_number 1
_symmetry_space_group_name_Hall 'P 1'
_cell_length_a 4.616
_cell_length_b 4.616
_cell_length_c 4.616
_cell_angle_alpha 60.00
_cell_angle_beta 60.00
_cell_angle_gamma 60.00
loop_
_atom_site_label
_atom_site_fract_x
_atom_site_fract_y
_atom_site_fract_z
Fe1 0.750 0.750 0.750
Lu1 0.500 0.500 0.500
Mo1 0.250 0.250 0.250
Sb1 0.000 0.000 0.000
```

Output
Energy above the most stable polymorph in this dataset = 0 meV per atom
Magnetization = 1.9 μB/cell
Space-group type = F-43m, No. 216

---

[5]
Material: LuFeSnMo
Method: DFT, GGA-PBE
State: relaxed

CIF file:
```
data_LuFeSnMo
_symmetry_space_group_name_H-M 'P 1'
_symmetry_Int_Tables_number 1
_symmetry_space_group_name_Hall 'P 1'
_cell_length_a 4.654
_cell_length_b 4.654
_cell_length_c 4.654
_cell_angle_alpha 60.00
_cell_angle_beta 60.00
_cell_angle_gamma 60.00
loop_
_atom_site_label
_atom_site_fract_x
_atom_site_fract_y
_atom_site_fract_z
Fe1 0.750 0.750 0.750
Lu1 0.500 0.500 0.500
Mo1 0.250 0.250 0.250
Sn1 0.000 0.000 0.000
```

Output
Energy above the most stable polymorph in this dataset = 0 meV per atom
Magnetization = 2.9 μB/cell
Space-group type = F-43m, No. 216

---

[6]
Material: LuFeSnMo
Method: DFT, GGA-PBE
State: relaxed

CIF file:
```
data_LuFeSnMo
_symmetry_space_group_name_H-M 'P 1'
_symmetry_Int_Tables_number 1
_symmetry_space_group_name_Hall 'P 1'
_cell_length_a 4.705
_cell_length_b 4.705
_cell_length_c 4.705
_cell_angle_alpha 60.00
_cell_angle_beta 60.00
_cell_angle_gamma 60.00
loop_
_atom_site_label
_atom_site_fract_x
_atom_site_fract_y
_atom_site_fract_z
Fe1 0.750 0.750 0.750
Lu1 0.250 0.250 0.250
Mo1 0.500 0.500 0.500
Sn1 0.000 0.000 0.000
```

Output
Energy above the most stable polymorph in this dataset = 149 meV per atom
Magnetization = 3.0 μB/cell
Space-group type = F-43m, No. 216

---

[7]
Material: LuTlFeMo
Method: DFT, GGA-PBE
State: relaxed

CIF file:
```
data_LuTlFeMo
_symmetry_space_group_name_H-M 'P 1'
_symmetry_Int_Tables_number 1
_symmetry_space_group_name_Hall 'P 1'
_cell_length_a 4.741
_cell_length_b 4.741
_cell_length_c 4.741
_cell_angle_alpha 60.00
_cell_angle_beta 60.00
_cell_angle_gamma 60.00
loop_
_atom_site_label
_atom_site_fract_x
_atom_site_fract_y
_atom_site_fract_z
Fe1 0.750 0.750 0.750
Lu1 0.250 0.250 0.250
Mo1 0.500 0.500 0.500
Tl1 0.000 0.000 0.000
```

Output
Energy above the most stable polymorph in this dataset = 19 meV per atom
Magnetization = 2.8 μB/cell
Space-group type = F-43m, No. 216

---

[8]
Material: LuTlFeMo
Method: DFT, GGA-PBE
State: relaxed

CIF file:
```
data_LuTlFeMo
_symmetry_space_group_name_H-M 'P 1'
_symmetry_Int_Tables_number 1
_symmetry_space_group_name_Hall 'P 1'
_cell_length_a 4.730
_cell_length_b 4.730
_cell_length_c 4.730
_cell_angle_alpha 60.00
_cell_angle_beta 60.00
_cell_angle_gamma 60.00
loop_
_atom_site_label
_atom_site_fract_x
_atom_site_fract_y
_atom_site_fract_z
Fe1 0.750 0.750 0.750
Lu1 0.500 0.500 0.500
Mo1 0.250 0.250 0.250
Tl1 0.000 0.000 0.000
```

Output
Energy above the most stable polymorph in this dataset = 0 meV per atom
Magnetization = 3.8 μB/cell
Space-group type = F-43m, No. 216

---

[9]
Material: LuZnFeMo
Method: DFT, GGA-PBE
State: relaxed

CIF file:
```
data_LuZnFeMo
_symmetry_space_group_name_H-M 'P 1'
_symmetry_Int_Tables_number 1
_symmetry_space_group_name_Hall 'P 1'
_cell_length_a 4.535
_cell_length_b 4.535
_cell_length_c 4.535
_cell_angle_alpha 60.00
_cell_angle_beta 60.00
_cell_angle_gamma 60.00
loop_
_atom_site_label
_atom_site_fract_x
_atom_site_fract_y
_atom_site_fract_z
Fe1 0.750 0.750 0.750
Lu1 0.500 0.500 0.500
Mo1 0.250 0.250 0.250
Zn1 0.000 0.000 0.000
```

Output
Energy above the most stable polymorph in this dataset = 133 meV per atom
Magnetization = 3.4 μB/cell
Space-group type = F-43m, No. 216

---

[10]
Material: LuZnFeMo
Method: DFT, GGA-PBE
State: relaxed

CIF file:
```
data_LuZnFeMo
_symmetry_space_group_name_H-M 'P 1'
_symmetry_Int_Tables_number 1
_symmetry_space_group_name_Hall 'P 1'
_cell_length_a 4.463
_cell_length_b 4.463
_cell_length_c 4.463
_cell_angle_alpha 60.00
_cell_angle_beta 60.00
_cell_angle_gamma 60.00
loop_
_atom_site_label
_atom_site_fract_x
_atom_site_fract_y
_atom_site_fract_z
Fe1 0.750 0.750 0.750
Lu1 0.250 0.250 0.250
Mo1 0.500 0.500 0.500
Zn1 0.000 0.000 0.000
```

Output
Energy above the most stable polymorph in this dataset = 0 meV per atom
Magnetization = 0.5 μB/cell
Space-group type = F-43m, No. 216

---

[11]
Material: Lu3FeN2
Method: DFT, GGA-PBE
State: relaxed

CIF file:
```
data_Lu3FeN2
_symmetry_space_group_name_H-M 'P 1'
_symmetry_Int_Tables_number 1
_symmetry_space_group_name_Hall 'P 1'
_cell_length_a 3.309
_cell_length_b 3.309
_cell_length_c 19.725
_cell_angle_alpha 90.00
_cell_angle_beta 90.00
_cell_angle_gamma 120.00
loop_
_atom_site_label
_atom_site_fract_x
_atom_site_fract_y
_atom_site_fract_z
Fe1 0.000 0.000 0.250
Fe2 0.000 0.000 0.750
Lu1 0.000 0.000 0.000
Lu2 0.667 0.333 0.139
Lu3 0.667 0.333 0.361
Lu4 0.000 0.000 0.500
Lu5 0.333 0.667 0.639
Lu6 0.333 0.667 0.861
N1 0.333 0.667 0.071
N2 0.333 0.667 0.429
N3 0.667 0.333 0.571
N4 0.667 0.333 0.929
```

Output
Final energy = -7.466 eV/atom
Magnetization = 4.1 μB/cell
Space-group type = P6_3/mmc, No. 194

---

[12]
Material: Lu4Nb2Fe3N3
Method: DFT, GGA-PBE
State: relaxed

CIF file:
```
data_Lu4Nb2Fe3N3
_symmetry_space_group_name_H-M 'P 1'
_symmetry_Int_Tables_number 1
_symmetry_space_group_name_Hall 'P 1'
_cell_length_a 5.459
_cell_length_b 5.672
_cell_length_c 14.263
_cell_angle_alpha 78.87
_cell_angle_beta 78.98
_cell_angle_gamma 61.24
loop_
_atom_site_label
_atom_site_fract_x
_atom_site_fract_y
_atom_site_fract_z
Fe1 0.404 0.982 0.249
Fe2 0.131 0.750 0.250
Fe3 0.636 0.518 0.251
Fe4 0.364 0.482 0.749
Fe5 0.869 0.250 0.750
Fe6 0.596 0.018 0.751
Lu1 0.300 0.467 0.101
Lu2 0.959 0.135 0.102
Lu3 0.196 0.365 0.398
Lu4 0.868 0.033 0.398
Lu5 0.132 0.967 0.602
Lu6 0.804 0.635 0.602
Lu7 0.041 0.865 0.898
Lu8 0.700 0.533 0.899
N1 0.000 0.500 0.000
N2 0.668 0.166 0.001
N3 0.835 0.334 0.499
N4 0.500 0.000 0.500
N5 0.165 0.666 0.501
N6 0.332 0.834 0.999
Nb1 0.637 0.805 0.080
Nb2 0.521 0.695 0.420
Nb3 0.479 0.305 0.580
Nb4 0.363 0.195 0.920
```

Output
Final energy = -7.933 eV/atom
Magnetization = 10.6 μB/cell
Space-group type = C2/c, No. 15